Record 1
Pm4CdIr3 | PBE | relaxed

POSCAR file:
```
Pm4CdIr3
1.0
2.537 1.465 8.305
-2.537 1.465 8.305
0.000 -2.930 8.305
Pm Cd Ir
4 1 3
Direct
0.119 0.119 0.119 Pm
0.370 0.370 0.370 Pm
0.630 0.630 0.630 Pm
0.881 0.881 0.881 Pm
0.500 0.500 0.500 Cd
0.000 0.000 0.000 Ir
0.247 0.247 0.247 Ir
0.753 0.753 0.753 Ir
```

Results
For the formation energy, the calculation gives -422 kJ/mol of formula units.

---

Record 2
AcLaSiNi | PBE | relaxed

POSCAR file:
```
AcLaSiNi
1.0
0.000 3.717 3.717
3.717 0.000 3.717
3.717 3.717 0.000
Ac La Si Ni
1 1 1 1
Direct
0.000 0.000 0.000 Ac
0.500 0.500 0.500 La
0.750 0.750 0.750 Si
0.250 0.250 0.250 Ni
```

Results
The polymorph energy (0 for the lowest one) is 212 meV/atom.

---

Record 3
YRuPt2 | PBE | relaxed

POSCAR file:
```
YRuPt2
1.0
2.865 -3.980 0.000
2.865 3.980 0.000
0.000 0.000 3.036
Y Ru Pt
1 1 2
Direct
0.000 0.000 0.000 Y
0.500 0.500 0.000 Ru
0.000 0.500 0.500 Pt
0.500 0.000 0.500 Pt
```

Results
For the formation energy, the calculation gives -174 kJ/mol of formula units.

---

Record 4
Ac2La2Pr4Ho | PBE | relaxed

POSCAR file:
```
Ac2La2Pr4Ho
1.0
9.795 -1.904 0.000
9.795 1.904 0.000
-4.382 0.000 9.138
Ac La Pr Ho
2 2 4 1
Direct
0.145 0.145 0.166 Ac
0.855 0.855 0.834 Ac
0.336 0.336 0.497 La
0.664 0.664 0.503 La
0.185 0.185 0.833 Pr
0.482 0.482 0.182 Pr
0.518 0.518 0.818 Pr
0.815 0.815 0.167 Pr
0.000 0.000 0.500 Ho
```

Results
For the formation energy, the calculation gives 22 kJ/mol of formula units.

---

Record 5
CdRuCl | PBE | relaxed

POSCAR file:
```
CdRuCl
1.0
0.000 3.187 3.187
3.187 0.000 3.187
3.187 3.187 0.000
Cd Ru Cl
1 1 1
Direct
0.000 0.000 0.000 Cd
0.750 0.750 0.750 Ru
0.500 0.500 0.500 Cl
```

Results
The polymorph energy (0 for the lowest one) is 469 meV/atom.

---

Record 6
Li2MgTl | PBE | relaxed

POSCAR file:
```
Li2MgTl
1.0
-3.871 3.871 2.968
3.871 -3.871 2.968
3.871 3.871 -2.968
Li Mg Tl
4 2 2
Direct
0.115 0.125 0.490 Li
0.375 0.885 0.010 Li
0.635 0.625 0.510 Li
0.875 0.365 0.990 Li
0.250 0.750 0.500 Mg
0.500 0.500 0.000 Mg
0.000 0.000 0.000 Tl
0.750 0.250 0.500 Tl
```

Results
For the formation energy, the calculation gives -1 kJ/mol of formula units.

---

Record 7
ZnSb3Cl | PBE | relaxed

POSCAR file:
```
ZnSb3Cl
1.0
5.256 0.000 0.000
0.000 5.256 0.000
0.000 0.000 5.256
Zn Sb Cl
1 3 1
Direct
0.000 0.000 0.000 Zn
0.000 0.000 0.500 Sb
0.000 0.500 0.000 Sb
0.500 0.000 0.000 Sb
0.500 0.500 0.500 Cl
```

Results
The polymorph energy (0 for the lowest one) is 0 meV/atom.

---

Record 8
BaGeMoN2 | PBE | relaxed

POSCAR file:
```
BaGeMoN2
1.0
4.383 0.000 0.000
0.000 4.383 0.000
0.000 0.000 6.926
Ba Ge Mo N
1 1 1 2
Direct
0.000 0.000 0.000 Ba
0.500 0.500 0.500 Ge
0.000 0.000 0.500 Mo
0.000 0.500 0.000 N
0.500 0.000 0.000 N
```

Results
For the total energy, the calculation gives -4.337 eV per atom.

---

Record 9
TbEuZnAg | PBE | relaxed

POSCAR file:
```
TbEuZnAg
1.0
0.000 3.693 3.693
3.693 0.000 3.693
3.693 3.693 0.000
Tb Eu Zn Ag
1 1 1 1
Direct
0.000 0.000 0.000 Tb
0.500 0.500 0.500 Eu
0.750 0.750 0.750 Zn
0.250 0.250 0.250 Ag
```

Results
For the formation energy, the calculation gives -103 kJ/mol of formula units.

---

Record 10
RbAsC3 | PBE | relaxed

POSCAR file:
```
RbAsC3
1.0
4.753 0.000 0.000
0.000 4.753 0.000
0.000 0.000 4.753
Rb As C
1 1 3
Direct
0.000 0.000 0.000 Rb
0.500 0.500 0.500 As
0.000 0.000 0.500 C
0.000 0.500 0.000 C
0.500 0.000 0.000 C
```

Results
For the formation energy, the calculation gives 2116 kJ/mol of formula units. The polymorph energy (0 for the lowest one) is 1823 meV/atom.

---

Record 11
BaGePd3 | PBE | relaxed

POSCAR file:
```
BaGePd3
1.0
5.348 0.000 0.000
0.000 5.348 0.000
0.000 0.000 5.348
Ba Ge Pd
1 1 3
Direct
0.000 0.000 0.000 Ba
0.500 0.500 0.500 Ge
0.000 0.000 0.500 Pd
0.000 0.500 0.000 Pd
0.500 0.000 0.000 Pd
```

Results
For the formation energy, the calculation gives 544 kJ/mol of formula units. The polymorph energy (0 for the lowest one) is 1732 meV/atom.

---

Record 12
SrCeNd | PBE | relaxed

POSCAR file:
```
SrCeNd
1.0
-1.853 1.853 8.359
1.853 -1.853 8.359
1.853 1.853 -8.359
Sr Ce Nd
1 1 1
Direct
0.000 0.000 0.000 Sr
0.677 0.677 0.000 Ce
0.318 0.318 0.000 Nd
```

Results
For the formation energy, the calculation gives 59 kJ/mol of formula units.

---

Record 13
ZrPb3 | PBE | relaxed

POSCAR file:
```
ZrPb3
1.0
5.744 0.000 0.000
0.000 6.375 0.000
0.000 0.000 5.973
Zr Pb
2 6
Direct
0.250 0.250 0.115 Zr
0.750 0.750 0.885 Zr
0.250 0.000 0.635 Pb
0.250 0.500 0.635 Pb
0.250 0.750 0.115 Pb
0.750 0.000 0.365 Pb
0.750 0.250 0.885 Pb
0.750 0.500 0.365 Pb
```

Results
For the formation energy, the calculation gives 32 kJ/mol of formula units.

---

Record 14
LaSe2N | PBE | relaxed

POSCAR file:
```
LaSe2N
1.0
0.000 3.567 3.567
3.567 0.000 3.567
3.567 3.567 0.000
La Se N
1 2 1
Direct
0.000 0.000 0.000 La
0.250 0.250 0.250 Se
0.750 0.750 0.750 Se
0.500 0.500 0.500 N
```

Results
The polymorph energy (0 for the lowest one) is 201 meV/atom.